Record 1
Entry from Alexandria: an optimized crystal structure of Er2CuO4 (GGA-PBEsol).

Summary:
Formation energy (no corrections): -2.79 eV per atom
Crystal system: orthorhombic
DFT total energy: -109.5 eV per cell

```
Er2CuO4
1.0
5.3772 0.0000 0.0000
0.0000 5.3834 0.0000
0.0000 -2.6917 5.7722
O Cu Er
8 2 4
direct
0.7979 0.2979 0.0000 O
0.2500 0.0091 0.5000 O
0.7500 0.4909 0.5000 O
0.2979 0.2021 0.0000 O
0.2021 0.7021 0.0000 O
0.2500 0.5091 0.5000 O
0.7021 0.7979 0.0000 O
0.7500 0.9909 0.5000 O
0.0000 0.0000 0.0000 Cu
0.5000 0.5000 0.0000 Cu
0.5000 0.1540 0.3081 Er
0.5000 0.8460 0.6919 Er
0.0000 0.3460 0.6919 Er
0.0000 0.6540 0.3081 Er
```


Record 2
Entry from Alexandria: an optimized crystal structure of Lu5Ir2 (GGA-PBEsol).

Summary:
Crystal system: monoclinic
Energy relative to the elements: -717 meV per atom
DFT total energy: -98.1 eV per cell

```
Lu5Ir2
1.0
-1.8873 -0.6762 -5.9589
-4.4025 -5.0865 1.9716
-3.8140 6.0578 3.8372
Ir Lu
4 10
direct
0.8270 0.5724 0.2179 Ir
0.6091 0.9276 0.7821 Ir
0.1730 0.4276 0.7821 Ir
0.3909 0.0724 0.2179 Ir
0.9675 0.9208 0.1817 Lu
0.7875 0.3167 0.4425 Lu
0.2125 0.6833 0.5575 Lu
0.0325 0.0792 0.8183 Lu
0.7858 0.5792 0.8183 Lu
0.3451 0.1833 0.5575 Lu
0.2142 0.4208 0.1817 Lu
0.6549 0.8167 0.4425 Lu
0.5718 0.2500 0.0000 Lu
0.4282 0.7500 0.0000 Lu
```


Record 3
Entry from Alexandria: an optimized crystal structure of Cd2In (GGA-PBEsol).

Summary:
Crystal system: orthorhombic
Energy relative to the elements: 47 meV per atom
DFT total energy: -10.5 eV per cell

```
Cd2In
1.0
-0.2758 1.1248 -5.2143
4.3263 -3.1138 -0.9006
-0.6498 -5.2530 -1.0988
In Cd
2 4
direct
0.7500 0.1743 0.8257 In
0.2500 0.8257 0.1743 In
0.2500 0.5042 0.8350 Cd
0.7500 0.4958 0.1650 Cd
0.7500 0.8350 0.5042 Cd
0.2500 0.1650 0.4958 Cd
```


Record 4
Entry from Alexandria: an optimized crystal structure of CrW2N3 (GGA-PBEsol).

Summary:
Formation energy (no corrections): -0.14 eV per atom
Crystal system: orthorhombic
DFT total energy: -64.3 eV per cell

```
CrW2N3
1.0
-0.6002 -0.1920 2.6957
2.2771 -2.8377 0.3049
3.4079 5.0510 -0.3030
W Cr N
2 1 3
direct
0.6452 0.6452 0.2904 W
0.3548 0.3548 0.7096 W
0.0000 0.0000 0.0000 Cr
0.0000 0.5000 0.0000 N
0.1750 0.1750 0.3499 N
0.8250 0.8250 0.6501 N
```


Record 5
Entry from Alexandria: an optimized crystal structure of MnSiAs2 (GGA-PBEsol).

Summary:
Formation energy (no corrections): 0.34 eV per atom
Crystal system: tetragonal
DFT total energy: -24.4 eV per cell

```
MnSiAs2
1.0
3.6962 0.0000 0.0000
0.0000 3.6962 0.0000
-1.8481 -1.8481 4.7586
Si Mn As
1 1 2
direct
0.2500 0.7500 0.5000 Si
0.5000 0.5000 0.0000 Mn
0.0000 0.0000 0.0000 As
0.7500 0.2500 0.5000 As
```


Record 6
Entry from Alexandria: an optimized crystal structure of La2SbIr (GGA-PBEsol).

Summary:
Formation energy (no corrections): -0.63 eV per atom
Crystal system: tetragonal
DFT total energy: -27.6 eV per cell

```
La2SbIr
1.0
-3.9665 1.1307 1.4454
-0.8161 -4.1700 1.0225
4.3371 2.2987 3.4963
La Ir Sb
2 1 1
direct
0.0000 0.0000 0.0000 La
0.7500 0.2500 0.5000 La
0.2500 0.7500 0.5000 Ir
0.5000 0.5000 0.0000 Sb
```